one:
A relaxed TaCdAg crystal. Source: the Open Quantum Materials Database, functional PBE.

Cell lengths 4.4588, 4.4588, 4.4588 Å; angles 60.00, 60.00, 60.00 degrees
Fractional coordinates of all 3 atoms:
Ta  0.7500  0.7500  0.7500
Cd  0.2500  0.2500  0.2500
Ag  0.0000  0.0000  0.0000

***

two:
A relaxed TaCdAg crystal. Source: the Open Quantum Materials Database, functional PBE.

Cell lengths 4.5556, 4.5556, 4.5556 Å; angles 60.00, 60.00, 60.00 degrees
Fractional coordinates of all 3 atoms:
Ta  0.7500  0.7500  0.7500
Ag  0.0000  0.0000  0.0000
Cd  0.5000  0.5000  0.5000

***

Result of the stability comparison: two is the least stable of them.